(i)
Hf3ZrSe: relaxed, PBE-GGA.

Values from the calculation:
DOS at the Fermi energy	7.76	states/eV per cell

```
data_Hf3ZrSe
_chemical_formula_sum 'Hf6 Zr2 Se2'
_symmetry_space_group_name_H-M 'P 1'
_symmetry_Int_Tables_number 1
_cell_length_a 6.825
_cell_length_b 6.825
_cell_length_c 6.825
_cell_angle_alpha 92.88
_cell_angle_beta 115.81
_cell_angle_gamma 120.96
loop_
_symmetry_equiv_pos_as_xyz
'x,y,z'
loop_
_atom_site_label
_atom_site_fract_x
_atom_site_fract_y
_atom_site_fract_z
Hf1 0.032 0.256 0.725
Hf2 0.032 0.807 0.275
Hf3 0.532 0.756 0.725
Hf4 0.069 0.281 0.287
Hf5 0.532 0.307 0.275
Hf6 0.994 0.781 0.713
Zr1 0.572 0.782 0.291
Zr2 0.491 0.282 0.709
Se1 0.531 0.032 0.000
Se2 0.032 0.532 0.000
```



(ii)
Hf3ZrSe: relaxed, PBE-GGA.

Values from the calculation:
DOS at the Fermi energy	3.76	states/eV per cell

```
data_Hf3ZrSe
_chemical_formula_sum 'Hf3 Zr1 Se1'
_symmetry_space_group_name_H-M 'P 1'
_symmetry_Int_Tables_number 1
_cell_length_a 4.938
_cell_length_b 4.938
_cell_length_c 4.938
_cell_angle_alpha 90.00
_cell_angle_beta 90.00
_cell_angle_gamma 90.00
loop_
_symmetry_equiv_pos_as_xyz
'x,y,z'
loop_
_atom_site_label
_atom_site_fract_x
_atom_site_fract_y
_atom_site_fract_z
Hf1 0.000 0.500 0.000
Hf2 0.000 0.000 0.500
Hf3 0.500 0.000 0.000
Se1 0.000 0.000 0.000
Zr1 0.500 0.500 0.500
```



(iii)
Hf3ZrSe: relaxed, PBE-GGA.

Values from the calculation:
DOS at the Fermi energy	5.69	states/eV per cell

```
data_Hf3ZrSe
_chemical_formula_sum 'Hf3 Zr1 Se1'
_symmetry_space_group_name_H-M 'P 1'
_symmetry_Int_Tables_number 1
_cell_length_a 5.140
_cell_length_b 5.140
_cell_length_c 5.140
_cell_angle_alpha 90.00
_cell_angle_beta 90.00
_cell_angle_gamma 90.00
loop_
_symmetry_equiv_pos_as_xyz
'x,y,z'
loop_
_atom_site_label
_atom_site_fract_x
_atom_site_fract_y
_atom_site_fract_z
Hf1 0.000 0.500 0.000
Hf2 0.000 0.000 0.500
Hf3 0.500 0.000 0.000
Se1 0.500 0.500 0.500
Zr1 0.000 0.000 0.000
```



Least stable of them? (iii).



(i)
Hf3Si: relaxed, PBE-GGA.

Values from the calculation:
DOS at the Fermi energy	32.37	states/eV per cell

```
data_Hf3Si
_chemical_formula_sum 'Hf24 Si8'
_symmetry_space_group_name_H-M 'P 1'
_symmetry_Int_Tables_number 1
_cell_length_a 5.384
_cell_length_b 10.881
_cell_length_c 10.881
_cell_angle_alpha 90.00
_cell_angle_beta 90.00
_cell_angle_gamma 90.00
loop_
_symmetry_equiv_pos_as_xyz
'x,y,z'
loop_
_atom_site_label
_atom_site_fract_x
_atom_site_fract_y
_atom_site_fract_z
Hf1 0.008 0.283 0.820
Hf2 0.008 0.717 0.180
Hf3 0.508 0.680 0.783
Hf4 0.508 0.320 0.217
Hf5 0.492 0.217 0.680
Hf6 0.492 0.783 0.320
Hf7 0.992 0.820 0.717
Hf8 0.992 0.180 0.283
Hf9 0.526 0.392 0.917
Hf10 0.526 0.608 0.083
Hf11 0.026 0.583 0.892
Hf12 0.026 0.417 0.108
Hf13 0.974 0.108 0.583
Hf14 0.974 0.892 0.417
Hf15 0.474 0.917 0.608
Hf16 0.474 0.083 0.392
Hf17 0.722 0.028 0.861
Hf18 0.722 0.972 0.139
Hf19 0.222 0.639 0.528
Hf20 0.222 0.361 0.472
Hf21 0.778 0.472 0.639
Hf22 0.778 0.528 0.361
Hf23 0.278 0.861 0.972
Hf24 0.278 0.139 0.028
Si1 0.786 0.795 0.958
Si2 0.786 0.205 0.042
Si3 0.286 0.542 0.295
Si4 0.286 0.458 0.705
Si5 0.714 0.705 0.542
Si6 0.714 0.295 0.458
Si7 0.214 0.958 0.205
Si8 0.214 0.042 0.795
```



(ii)
Hf3Si: relaxed, PBE-GGA.

Values from the calculation:
DOS at the Fermi energy	4.03	states/eV per cell

```
data_Hf3Si
_chemical_formula_sum 'Hf3 Si1'
_symmetry_space_group_name_H-M 'P 1'
_symmetry_Int_Tables_number 1
_cell_length_a 3.247
_cell_length_b 5.281
_cell_length_c 5.597
_cell_angle_alpha 118.15
_cell_angle_beta 106.86
_cell_angle_gamma 90.00
loop_
_symmetry_equiv_pos_as_xyz
'x,y,z'
loop_
_atom_site_label
_atom_site_fract_x
_atom_site_fract_y
_atom_site_fract_z
Si1 0.000 0.029 0.000
Hf1 0.276 0.618 0.553
Hf2 0.500 0.455 0.000
Hf3 0.724 0.065 0.447
```



Least stable of them? (ii).



(i)
Hf3Si: relaxed, PBE-GGA.

Values from the calculation:
DOS at the Fermi energy	4.58	states/eV per cell

```
data_Hf3Si
_chemical_formula_sum 'Hf6 Si2'
_symmetry_space_group_name_H-M 'P 1'
_symmetry_Int_Tables_number 1
_cell_length_a 6.069
_cell_length_b 6.069
_cell_length_c 4.872
_cell_angle_alpha 90.00
_cell_angle_beta 90.00
_cell_angle_gamma 120.00
loop_
_symmetry_equiv_pos_as_xyz
'x,y,z'
loop_
_atom_site_label
_atom_site_fract_x
_atom_site_fract_y
_atom_site_fract_z
Hf1 0.829 0.658 0.750
Hf2 0.342 0.171 0.750
Hf3 0.171 0.829 0.250
Hf4 0.171 0.342 0.250
Hf5 0.658 0.829 0.250
Hf6 0.829 0.171 0.750
Si1 0.667 0.333 0.250
Si2 0.333 0.667 0.750
```



(ii)
Hf3Si: relaxed, PBE-GGA.

Values from the calculation:
DOS at the Fermi energy	15.86	states/eV per cell

```
data_Hf3Si
_chemical_formula_sum 'Hf12 Si4'
_symmetry_space_group_name_H-M 'P 1'
_symmetry_Int_Tables_number 1
_cell_length_a 5.385
_cell_length_b 8.158
_cell_length_c 8.158
_cell_angle_alpha 83.75
_cell_angle_beta 70.73
_cell_angle_gamma 70.73
loop_
_symmetry_equiv_pos_as_xyz
'x,y,z'
loop_
_atom_site_label
_atom_site_fract_x
_atom_site_fract_y
_atom_site_fract_z
Hf1 0.379 0.973 0.808
Hf2 0.160 0.027 0.192
Hf3 0.813 0.808 0.027
Hf4 0.648 0.192 0.973
Hf5 0.548 0.333 0.610
Hf6 0.492 0.667 0.390
Hf7 0.841 0.610 0.667
Hf8 0.118 0.390 0.333
Hf9 0.968 0.965 0.601
Hf10 0.535 0.035 0.399
Hf11 0.430 0.601 0.035
Hf12 0.066 0.399 0.965
Si1 0.068 0.254 0.667
Si2 0.989 0.746 0.333
Si3 0.265 0.667 0.746
Si4 0.678 0.333 0.254
```



Least stable of them? (i).



(i)
SrHfSi3: relaxed, PBE-GGA.

Values from the calculation:
DOS at the Fermi energy	2.98	states/eV per cell

```
data_SrHfSi3
_chemical_formula_sum 'Sr1 Hf1 Si3'
_symmetry_space_group_name_H-M 'P 1'
_symmetry_Int_Tables_number 1
_cell_length_a 5.088
_cell_length_b 5.088
_cell_length_c 5.088
_cell_angle_alpha 90.00
_cell_angle_beta 90.00
_cell_angle_gamma 90.00
loop_
_symmetry_equiv_pos_as_xyz
'x,y,z'
loop_
_atom_site_label
_atom_site_fract_x
_atom_site_fract_y
_atom_site_fract_z
Sr1 0.000 0.000 0.000
Si1 0.000 0.500 0.000
Si2 0.000 0.000 0.500
Si3 0.500 0.000 0.000
Hf1 0.500 0.500 0.500
```



(ii)
SrHfSi3: relaxed, PBE-GGA.

Values from the calculation:
DOS at the Fermi energy	2.46	states/eV per cell

```
data_SrHfSi3
_chemical_formula_sum 'Sr1 Hf1 Si3'
_symmetry_space_group_name_H-M 'P 1'
_symmetry_Int_Tables_number 1
_cell_length_a 5.079
_cell_length_b 5.079
_cell_length_c 5.079
_cell_angle_alpha 90.00
_cell_angle_beta 90.00
_cell_angle_gamma 90.00
loop_
_symmetry_equiv_pos_as_xyz
'x,y,z'
loop_
_atom_site_label
_atom_site_fract_x
_atom_site_fract_y
_atom_site_fract_z
Sr1 0.500 0.500 0.500
Si1 0.000 0.500 0.000
Si2 0.000 0.000 0.500
Si3 0.500 0.000 0.000
Hf1 0.000 0.000 0.000
```



Least stable of them? (i).



(i)
Sr3HfSi: relaxed, PBE-GGA.

Values from the calculation:
DOS at the Fermi energy	8.95	states/eV per cell

```
data_Sr3HfSi
_chemical_formula_sum 'Sr3 Hf1 Si1'
_symmetry_space_group_name_H-M 'P 1'
_symmetry_Int_Tables_number 1
_cell_length_a 5.986
_cell_length_b 5.986
_cell_length_c 5.986
_cell_angle_alpha 90.00
_cell_angle_beta 90.00
_cell_angle_gamma 90.00
loop_
_symmetry_equiv_pos_as_xyz
'x,y,z'
loop_
_atom_site_label
_atom_site_fract_x
_atom_site_fract_y
_atom_site_fract_z
Sr1 0.000 0.500 0.000
Sr2 0.000 0.000 0.500
Sr3 0.500 0.000 0.000
Si1 0.000 0.000 0.000
Hf1 0.500 0.500 0.500
```



(ii)
Sr3HfSi: relaxed, PBE-GGA.

Values from the calculation:
DOS at the Fermi energy	6.07	states/eV per cell

```
data_Sr3HfSi
_chemical_formula_sum 'Sr3 Hf1 Si1'
_symmetry_space_group_name_H-M 'P 1'
_symmetry_Int_Tables_number 1
_cell_length_a 6.024
_cell_length_b 6.024
_cell_length_c 6.024
_cell_angle_alpha 90.00
_cell_angle_beta 90.00
_cell_angle_gamma 90.00
loop_
_symmetry_equiv_pos_as_xyz
'x,y,z'
loop_
_atom_site_label
_atom_site_fract_x
_atom_site_fract_y
_atom_site_fract_z
Sr1 0.000 0.500 0.000
Sr2 0.000 0.000 0.500
Sr3 0.500 0.000 0.000
Si1 0.500 0.500 0.500
Hf1 0.000 0.000 0.000
```



Least stable of them? (ii).



(i)
HfTa2Si2: relaxed, PBE-GGA.

Values from the calculation:
DOS at the Fermi energy	2.45	states/eV per cell

```
data_HfTa2Si2
_chemical_formula_sum 'Hf1 Ta2 Si2'
_symmetry_space_group_name_H-M 'P 1'
_symmetry_Int_Tables_number 1
_cell_length_a 3.592
_cell_length_b 5.045
_cell_length_c 5.284
_cell_angle_alpha 102.41
_cell_angle_beta 109.87
_cell_angle_gamma 90.00
loop_
_symmetry_equiv_pos_as_xyz
'x,y,z'
loop_
_atom_site_label
_atom_site_fract_x
_atom_site_fract_y
_atom_site_fract_z
Hf1 0.000 0.000 0.000
Ta1 0.357 0.427 0.714
Ta2 0.643 0.573 0.286
Si1 0.715 0.119 0.429
Si2 0.285 0.881 0.571
```



(ii)
HfTa2Si2: relaxed, PBE-GGA.

Values from the calculation:
DOS at the Fermi energy	1.61	states/eV per cell

```
data_HfTa2Si2
_chemical_formula_sum 'Hf2 Ta4 Si4'
_symmetry_space_group_name_H-M 'P 1'
_symmetry_Int_Tables_number 1
_cell_length_a 6.851
_cell_length_b 6.851
_cell_length_c 3.505
_cell_angle_alpha 90.00
_cell_angle_beta 90.00
_cell_angle_gamma 90.00
loop_
_symmetry_equiv_pos_as_xyz
'x,y,z'
loop_
_atom_site_label
_atom_site_fract_x
_atom_site_fract_y
_atom_site_fract_z
Si1 0.374 0.874 0.000
Si2 0.874 0.626 0.000
Si3 0.626 0.126 0.000
Si4 0.126 0.374 0.000
Hf1 0.000 0.000 0.000
Hf2 0.500 0.500 0.000
Ta1 0.171 0.671 0.500
Ta2 0.671 0.829 0.500
Ta3 0.829 0.329 0.500
Ta4 0.329 0.171 0.500
```



Least stable of them? (i).